{"formula": "AcSmAl2", "functional": "PBE-GGA", "state": "optimized geometry", "cell": [[3.8490, 0.0000, 0.0000], [-1.9245, 3.3333, 0.0000], [0.0000, 0.0000, 28.6307]], "species": ["Ac", "Ac", "Ac", "Sm", "Sm", "Sm", "Al", "Al", "Al", "Al", "Al", "Al"], "frac_coords": [[0.0000, 0.0000, 0.0000], [0.3333, 0.6667, 0.6667], [0.6667, 0.3333, 0.3333], [0.0000, 0.0000, 0.5000], [0.3333, 0.6667, 0.1667], [0.6667, 0.3333, 0.8333], [0.0000, 0.0000, 0.2451], [0.0000, 0.0000, 0.7549], [0.3333, 0.6667, 0.4215], [0.3333, 0.6667, 0.9118], [0.6667, 0.3333, 0.0882], [0.6667, 0.3333, 0.5785]], "e_tot_ev_per_atom": -4.11, "e_form_ev_per_atom": -0.03, "mass_density_g_cm3": 5.85, "crystal_system": "trigonal"}


{"formula": "MgBiHRh2", "functional": "PBE-GGA", "state": "optimized geometry", "cell": [[4.1998, 0.0000, 0.0000], [0.0000, 4.1998, 0.0000], [0.0000, 0.0000, 4.0774]], "species": ["Mg", "Bi", "H", "Rh", "Rh"], "frac_coords": [[0.0000, 0.0000, 0.0000], [0.5000, 0.5000, 0.0000], [0.0000, 0.0000, 0.5000], [0.0000, 0.5000, 0.5000], [0.5000, 0.0000, 0.5000]], "e_tot_ev_per_atom": -4.88, "mass_density_g_cm3": 10.16, "crystal_system": "tetragonal"}


{"formula": "Na4Ce3ZnS8", "functional": "PBE-GGA", "state": "optimized geometry", "cell": [[7.0114, -4.0098, 0.0000], [7.0114, 4.0098, 0.0000], [-4.6547, 0.0000, 6.6585]], "species": ["Na", "Na", "Na", "Na", "Ce", "Ce", "Ce", "Zn", "S", "S", "S", "S", "S", "S", "S", "S"], "frac_coords": [[0.0000, 0.0000, 0.0000], [0.0000, 0.5000, 0.0000], [0.5000, 0.0000, 0.0000], [0.5000, 0.5000, 0.0000], [0.0000, 0.0000, 0.5000], [0.0000, 0.5000, 0.5000], [0.5000, 0.0000, 0.5000], [0.5000, 0.5000, 0.5000], [0.2441, 0.2441, 0.7345], [0.2548, 0.2548, 0.2671], [0.2568, 0.7310, 0.7211], [0.2690, 0.7432, 0.2789], [0.7310, 0.2568, 0.7211], [0.7432, 0.2690, 0.2789], [0.7452, 0.7452, 0.7329], [0.7559, 0.7559, 0.2655]], "e_tot_ev_per_atom": -5.09, "formation_energy_uncorrected_kj_per_mol_atoms": -144.85, "mass_density_g_cm3": 3.70, "crystal_system": "monoclinic"}


> Which formula does entry 3 have?

Na4Ce3ZnS8


> Which formula does entry 1 have?

AcSmAl2